DFT (PBE) results for a relaxed CsFeCl6 crystal.

Cell and atoms, written as POSCAR:
```
CsFeCl6
1.0
6.175 1.724 -2.305
1.063 6.322 -2.305
-1.093 -1.215 7.362
Fe Cl Cs
1 6 1
direct
0.000 0.000 0.000
0.090 0.625 0.763
0.375 0.910 0.237
0.910 0.375 0.237
0.879 0.879 0.144
0.625 0.090 0.763
0.121 0.121 0.856
0.500 0.500 0.500
```

crystal system = monoclinic
raw formation energy = -19.51 kcal/mol of atoms
magnetization = 3.023 μB/cell
symmetry = C2/m, No. 12